# Co3TcGe PBE-GGA optimized geometry
data_Co3TcGe
_chemical_formula_sum 'Co3 Tc1 Ge1'
_cell_length_a 4.2583
_cell_length_b 4.2583
_cell_length_c 4.2583
_cell_angle_alpha 90.00
_cell_angle_beta 90.00
_cell_angle_gamma 90.00
_symmetry_space_group_name_H-M 'P m -3 m'
_symmetry_Int_Tables_number 221
_symmetry_space_group_name_Hall '-P 4 2 3'
loop_
_atom_site_label
_atom_site_type_symbol
_atom_site_fract_x
_atom_site_fract_y
_atom_site_fract_z
Co1 Co 0.0000 0.0000 0.5000
Tc1 Tc 0.5000 0.5000 0.5000
Ge1 Ge 0.0000 0.0000 0.0000
# total energy: -6.171 eV/atom
# formation energy: 1.089 eV/atom
# E above lowest polymorph: 0 meV/atom

=====

# LiTlS2 PBE-GGA optimized geometry
data_LiTlS2
_chemical_formula_sum 'Li4 Tl4 S8'
_cell_length_a 7.1188
_cell_length_b 8.2113
_cell_length_c 6.6922
_cell_angle_alpha 90.00
_cell_angle_beta 90.00
_cell_angle_gamma 90.00
_symmetry_space_group_name_H-M 'P n a 21'
_symmetry_Int_Tables_number 33
_symmetry_space_group_name_Hall 'P 2c -2n'
loop_
_atom_site_label
_atom_site_type_symbol
_atom_site_fract_x
_atom_site_fract_y
_atom_site_fract_z
Li1 Li 0.0863 0.1241 0.0000
Tl1 Tl 0.0837 0.6250 0.9979
S1 S 0.0783 0.1171 0.6315
S2 S 0.0862 0.6340 0.6131
# uncorrected formation energy: -2.5 eV per formula unit
# total energy: -3.759 eV/atom

=====

# CaNd2Au3 PBE-GGA optimized geometry
data_CaNd2Au3
_chemical_formula_sum 'Ca1 Nd2 Au3'
_cell_length_a 3.6860
_cell_length_b 3.6860
_cell_length_c 11.2014
_cell_angle_alpha 90.00
_cell_angle_beta 90.00
_cell_angle_gamma 90.00
_symmetry_space_group_name_H-M 'P 4/m m m'
_symmetry_Int_Tables_number 123
_symmetry_space_group_name_Hall '-P 4 2'
loop_
_atom_site_label
_atom_site_type_symbol
_atom_site_fract_x
_atom_site_fract_y
_atom_site_fract_z
Ca1 Ca 0.0000 0.0000 0.0000
Nd1 Nd 0.0000 0.0000 0.3299
Au1 Au 0.5000 0.5000 0.1719
Au2 Au 0.5000 0.5000 0.5000
# total energy: -4.338 eV/atom
# formation energy: -0.777 eV/atom
# E above lowest polymorph: 3 meV/atom